Record 1
Compound: Cs2KNaAu
Source: the Alexandria database
Functional: PBE-GGA
Structure: optimized geometry Values from VASP.

Space-group type: No. 123
Calculated volume in Å³/atom: 66.11
Excess energy over the best structure of this formula in the dataset in eV per formula unit: 0.05

Cell and atoms, written as Quantum ESPRESSO input:
```
&SYSTEM
  ibrav = 0, nat = 5, ntyp = 4
/
ATOMIC_SPECIES
Na 22.99 Na.upf
Cs 132.91 Cs.upf
Au 196.97 Au.upf
K 39.10 K.upf
CELL_PARAMETERS angstrom
-5.097 1.252 4.734
4.464 -1.623 5.235
1.885 6.332 0.355
ATOMIC_POSITIONS angstrom
Na 0.626 2.981 5.162
Cs -2.548 0.626 2.367
Cs 2.232 -0.811 2.617
Au 0.000 0.000 0.000
K 0.943 3.166 0.178
```

Record 2
Compound: SrMg6Al
Source: the Alexandria database
Functional: PBE-GGA
Structure: optimized geometry Values from VASP.

Space-group type: No. 38
Calculated volume in Å³/atom: 26.09
Excess energy over the best structure of this formula in the dataset in eV per formula unit: 0.00

Cell and atoms, written as Quantum ESPRESSO input:
```
&SYSTEM
  ibrav = 0, nat = 8, ntyp = 3
/
ATOMIC_SPECIES
Mg 24.30 Mg.upf
Al 26.98 Al.upf
Sr 87.62 Sr.upf
CELL_PARAMETERS angstrom
5.855 4.525 0.325
-7.168 1.518 -1.082
-0.642 0.477 4.921
ATOMIC_POSITIONS angstrom
Mg 0.179 2.008 2.354
Mg -0.450 4.901 1.992
Mg -5.477 1.909 -0.899
Mg -1.949 4.317 -0.672
Mg 2.069 3.651 -0.084
Mg -1.289 1.281 -0.292
Al 3.964 4.401 2.616
Sr -3.583 2.658 1.801
```

Record 3
Compound: Hf2FeTc
Source: the Alexandria database
Functional: PBE-GGA
Structure: optimized geometry Values from VASP.

Space-group type: No. 123
Calculated volume in Å³/atom: 16.45
Excess energy over the best structure of this formula in the dataset in eV per formula unit: 0.01

Cell and atoms, written as Quantum ESPRESSO input:
```
&SYSTEM
  ibrav = 0, nat = 4, ntyp = 3
/
ATOMIC_SPECIES
Fe 55.84 Fe.upf
Hf 178.49 Hf.upf
Tc 98.00 Tc.upf
CELL_PARAMETERS angstrom
-2.988 1.144 -0.243
-1.494 -4.133 -1.093
-0.703 -0.905 4.381
ATOMIC_POSITIONS angstrom
Fe -2.592 -1.947 1.522
Hf -0.351 -0.452 2.190
Hf -0.747 -2.066 -0.547
Tc -1.494 0.572 -0.122
```